# 1
DFT (GGA-PBEsol) results for Sc2Cu2Ge4O13 after structural relaxation.

```
Sc2Cu2Ge4O13
1.0
4.908 0.000 0.015
0.000 8.701 0.000
-1.258 0.000 12.252
Sc Cu Ge O
4 4 8 26
Cartesian
3.893 0.519 7.710 Sc
-0.243 4.869 4.557 Sc
-0.243 8.182 4.557 Sc
3.893 3.832 7.710 Sc
3.579 8.681 10.771 Cu
0.071 4.330 1.495 Cu
0.071 0.020 1.495 Cu
3.579 4.371 10.771 Cu
2.303 6.526 6.281 Ge
1.347 2.175 5.986 Ge
0.705 6.526 12.175 Ge
2.945 2.175 0.092 Ge
0.686 6.526 9.226 Ge
2.964 2.175 3.040 Ge
2.126 6.526 2.858 Ge
1.525 2.175 9.409 Ge
3.912 3.644 0.064 O
-0.261 7.994 12.203 O
-0.261 5.057 12.203 O
3.912 0.707 0.064 O
0.870 6.526 5.275 O
2.781 2.175 6.991 O
3.964 3.622 3.075 O
-0.314 7.972 9.192 O
-0.314 5.079 9.192 O
3.964 0.729 3.075 O
0.406 3.654 6.086 O
3.245 8.004 6.180 O
3.245 5.047 6.180 O
0.406 0.697 6.086 O
1.679 6.526 10.704 O
1.971 2.175 1.562 O
0.193 2.175 8.271 O
3.458 6.526 3.996 O
1.766 2.175 4.277 O
1.885 6.526 7.989 O
0.622 2.175 10.948 O
3.028 6.526 1.319 O
2.544 0.740 9.323 O
1.107 5.090 2.944 O
1.107 7.961 2.944 O
2.544 3.610 9.323 O
```

Properties
D(E_F)	0.6	states/eV/f.u.
V	261.70	Å³/f.u.

# 2
DFT (GGA-PBEsol) results for MgOsBr4 after structural relaxation.

```
MgOsBr4
1.0
-2.191 5.221 1.982
-4.431 0.052 4.043
1.094 1.769 5.627
Br Mg Os
4 1 1
Cartesian
-2.069 2.637 4.362 Br
-1.520 3.526 7.190 Br
-3.170 5.260 5.358 Br
-4.296 2.663 6.394 Br
-4.146 5.282 8.739 Mg
0.000 0.000 0.000 Os
```

Properties
D(E_F)	9.1	states/eV/f.u.
V	152.67	Å³/f.u.

# 3
DFT (GGA-PBEsol) results for NaHoCl4 after structural relaxation.

```
NaHoCl4
1.0
6.498 -0.004 -0.014
1.324 6.497 0.021
0.255 0.059 6.925
Na Ho Cl
2 2 8
Cartesian
1.882 1.295 3.744 Na
6.195 5.257 3.188 Na
5.552 1.951 0.373 Ho
2.525 4.601 6.559 Ho
4.350 1.407 2.554 Cl
3.727 5.145 4.378 Cl
2.002 6.502 1.447 Cl
6.075 0.050 5.485 Cl
1.047 3.257 1.689 Cl
7.030 3.295 5.243 Cl
4.628 4.474 0.810 Cl
3.449 2.077 6.121 Cl
```

Properties
D(E_F)	0.0	states/eV/f.u.
V	146.20	Å³/f.u.

# 4
DFT (GGA-PBEsol) results for HfAuSCl2 after structural relaxation.

```
HfAuSCl2
1.0
4.796 0.000 0.000
0.000 4.796 0.000
0.000 0.000 4.855
Hf S Au Cl
1 1 1 2
Cartesian
2.398 2.398 2.427 Hf
0.000 0.000 2.427 S
0.000 0.000 0.000 Au
0.000 2.398 0.000 Cl
2.398 0.000 0.000 Cl
```

Properties
D(E_F)	4.9	states/eV/f.u.
V	111.69	Å³/f.u.

Let's list density in order: 4.5, 5.8, 3.7, 7.1 g/cm3.
Let's list final energy in order: -7.14, -2.20, -4.52, -4.13 eV per atom.
Let's list energy relative to the elements, uncorrected in order: -3863, 793, -1227, 211 kJ/mol of formula units.